LiPrFeTe3 PBE-GGA optimized geometry; total DFT energy (no corrections) = -57.8 eV per cell
1.0
7.053 -2.141 0.000
7.053 2.141 0.000
0.000 0.000 11.828
Li Te Fe Pr
2 6 2 2
direct
0.197 0.197 0.750
0.803 0.803 0.250
0.088 0.088 0.250
0.912 0.912 0.750
0.350 0.350 0.417
0.650 0.650 0.583
0.650 0.650 0.917
0.350 0.350 0.083
0.474 0.474 0.250
0.526 0.526 0.750
0.000 0.000 0.500
0.000 0.000 0.000